Entry from Alexandria: an optimized crystal structure of Zr2FeHPd (PBE-GGA).

a = 4.607 Å, b = 4.607 Å, c = 3.442 Å
α = 90.00°, β = 90.00°, γ = 90.00°
Positions (direct):
H 0.000 0.000 0.000
Zr 0.000 0.500 0.000
Zr 0.500 0.000 0.000
Pd 0.500 0.500 0.500
Fe 0.000 0.000 0.500

Properties
- Calculated total energy: -7.185 eV/atom